Density functional theory data (PBEsol) for K3GaMo after structural relaxation.

Results
- Energy: -2.206 eV/atom
- Calculated volume: 56.65 A^3/atom
- Space group: Pm-3m (221)
- Energy of formation: 1.50 eV per atom

Unit cell a=6.5673 b=6.5673 c=6.5673 alpha=90.00 beta=90.00 gamma=90.00
Positions (direct):
K 0.0000 0.0000 0.5000
K 0.0000 0.5000 0.0000
K 0.5000 0.0000 0.0000
Ga 0.5000 0.5000 0.5000
Mo 0.0000 0.0000 0.0000

Density functional theory data (PBEsol) for BaZn2 after structural relaxation.

Results
- Energy: -1.690 eV/atom
- Calculated volume: 27.05 A^3/atom
- Space group: P4/mmm (123)
- Energy of formation: 0.08 eV per atom

Unit cell a=3.7438 b=3.7438 c=5.7889 alpha=90.00 beta=90.00 gamma=90.00
Positions (direct):
Ba 0.0000 0.0000 0.0000
Zn 0.0000 0.5000 0.5000
Zn 0.5000 0.0000 0.5000